Entry 1:
{
  "formula": "RbB2PbF8",
  "functional": "GGA-PBE",
  "state": "relaxed",
  "spacegroup": "R-3, No. 148",
  "magmom_total_mub_per_atom": 0.05,
  "raw_formation_energy_ev_per_atom": -2.67,
  "n_ef_per_ev_atom": 0.1547,
  "lattice": [[-1.2540, 2.7772, -3.7559], [1.4516, -1.1689, -4.4630], [-8.1360, -4.8629, -3.9933]],
  "species": ["Rb", "B", "B", "Pb", "F", "F", "F", "F", "F", "F", "F", "F"],
  "frac_coords": [[0.5000, 0.5000, 0.5000], [0.2433, 0.2433, 0.2702], [0.7567, 0.7567, 0.7298], [0.0000, 0.0000, 0.0000], [0.1950, 0.1950, 0.4151], [0.5407, 0.2477, 0.2254], [0.8050, 0.8050, 0.5849], [0.9862, 0.5407, 0.2254], [0.0138, 0.4593, 0.7746], [0.2477, 0.9862, 0.2254], [0.7523, 0.0138, 0.7746], [0.4593, 0.7523, 0.7746]]
}

***

Entry 2:
{
  "formula": "TbDy2Cd",
  "functional": "GGA-PBE",
  "state": "relaxed",
  "spacegroup": "R3m, No. 160",
  "magmom_total_mub_per_atom": 0.00,
  "de_polymorph_mev_per_atom": 84.0,
  "n_ef_per_ev_atom": 1.4205,
  "lattice": [[3.5974, 0.0000, 0.0000], [1.7987, 3.1155, 0.0000], [1.7987, 1.0385, 10.7127]],
  "species": ["Tb", "Dy", "Dy", "Cd"],
  "frac_coords": [[0.5000, 0.5000, 0.4999], [0.0778, 0.0778, 0.7666], [0.2556, 0.2556, 0.2331], [0.6665, 0.6665, 0.0004]]
}

***

Entry 3:
{
  "formula": "ZnCuTe2",
  "functional": "GGA-PBE",
  "state": "relaxed",
  "spacegroup": "Pmmm, No. 47",
  "magmom_total_mub_per_atom": 0.00,
  "de_polymorph_mev_per_atom": 399.8,
  "raw_formation_energy_ev_per_atom": 0.18,
  "n_ef_per_ev_atom": 0.5612,
  "lattice": [[3.8350, 0.0000, 0.0000], [0.0000, 7.5188, 0.0000], [0.0000, 0.0000, 3.7766]],
  "species": ["Cu", "Te", "Te", "Zn"],
  "frac_coords": [[0.0000, 0.5000, 0.5000], [0.0000, 0.0000, 0.0000], [0.5000, 0.5000, 0.0000], [0.5000, 0.0000, 0.5000]]
}

***

Entry 4:
{
  "formula": "DyZrNiOs",
  "functional": "GGA-PBE",
  "state": "relaxed",
  "spacegroup": "F-43m, No. 216",
  "magmom_total_mub_per_atom": 0.00,
  "final_energy_ev_per_cell": -31.56,
  "n_ef_per_ev_atom": 0.5663,
  "lattice": [[4.7028, 0.0000, 0.0000], [2.3514, 4.0728, 0.0000], [2.3514, 1.3576, 3.8398]],
  "species": ["Ni", "Os", "Zr", "Dy"],
  "frac_coords": [[0.5000, 0.5000, 0.5000], [0.0000, 0.0000, 0.0000], [0.7500, 0.7500, 0.7500], [0.2500, 0.2500, 0.2500]]
}

***

Entry 5:
{
  "formula": "Ag2Br2Cl",
  "functional": "GGA-PBE",
  "state": "relaxed",
  "spacegroup": "P4/mbm, No. 127",
  "magmom_total_mub_per_atom": 0.00,
  "de_polymorph_mev_per_atom": 166.7,
  "raw_formation_energy_ev_per_atom": -0.15,
  "n_ef_per_ev_atom": 1.2149,
  "lattice": [[7.6236, 0.0000, 0.0000], [0.0000, 7.6236, 0.0000], [0.0000, 0.0000, 4.8930]],
  "species": ["Br", "Br", "Br", "Br", "Ag", "Ag", "Ag", "Ag", "Cl", "Cl"],
  "frac_coords": [[0.1545, 0.6545, 0.5000], [0.6545, 0.8455, 0.5000], [0.8455, 0.3455, 0.5000], [0.3455, 0.1545, 0.5000], [0.2332, 0.7332, 0.0000], [0.7332, 0.7668, 0.0000], [0.7668, 0.2668, 0.0000], [0.2668, 0.2332, 0.0000], [0.0000, 0.0000, 0.0000], [0.5000, 0.5000, 0.0000]]
}

***

Entry 6:
{
  "formula": "ErTl2HgF6",
  "functional": "GGA-PBE",
  "state": "relaxed",
  "spacegroup": "Pmmn, No. 59",
  "magmom_total_mub_per_atom": 0.09,
  "raw_formation_energy_ev_per_atom": -2.48,
  "n_ef_per_ev_atom": 0.2106,
  "lattice": [[-0.0022, -6.3036, 1.6790], [6.2882, 0.8207, 3.0896], [-4.2439, 2.1501, 8.0664]],
  "species": ["Er", "Er", "Tl", "Tl", "Tl", "Tl", "Hg", "Hg", "F", "F", "F", "F", "F", "F", "F", "F", "F", "F", "F", "F"],
  "frac_coords": [[0.5000, 0.2371, 0.5000], [0.0000, 0.7629, 0.0000], [0.5000, 0.8097, 0.2145], [0.0000, 0.1903, 0.7145], [0.5000, 0.8097, 0.7855], [0.0000, 0.1903, 0.2855], [0.0000, 0.7121, 0.5000], [0.5000, 0.2879, 0.0000], [0.5000, 0.1862, 0.2719], [0.5000, 0.1862, 0.7281], [0.0000, 0.8138, 0.2281], [0.0000, 0.8138, 0.7719], [0.2441, 0.0346, 0.5000], [0.7559, 0.0346, 0.5000], [0.2608, 0.4438, 0.5000], [0.7392, 0.4438, 0.5000], [0.7608, 0.5562, 0.0000], [0.2392, 0.5562, 0.0000], [0.2559, 0.9654, 0.0000], [0.7441, 0.9654, 0.0000]]
}

***

Entry 7:
{
  "formula": "Sm3DyPu2Se6",
  "functional": "GGA-PBE",
  "state": "relaxed",
  "spacegroup": "C2/m, No. 12",
  "magmom_total_mub_per_atom": 0.97,
  "raw_formation_energy_ev_per_atom": -1.73,
  "n_ef_per_ev_atom": 1.5934,
  "lattice": [[-5.5292, 4.5278, -0.4829], [3.1610, -2.4440, -5.9448], [-3.5153, -5.9648, 2.0206]],
  "species": ["Sm", "Sm", "Sm", "Dy", "Pu", "Pu", "Se", "Se", "Se", "Se", "Se", "Se"],
  "frac_coords": [[0.1680, 0.8320, 0.5000], [0.8320, 0.1680, 0.5000], [0.5000, 0.5000, 0.5000], [0.0000, 0.0000, 0.0000], [0.3336, 0.6664, 0.0000], [0.6664, 0.3336, 0.0000], [0.9186, 0.5877, 0.7557], [0.7514, 0.7514, 0.2467], [0.0814, 0.4123, 0.2443], [0.5877, 0.9186, 0.7557], [0.2486, 0.2486, 0.7533], [0.4123, 0.0814, 0.2443]]
}

***

Entry 8:
{
  "formula": "Ir2PtW2",
  "functional": "GGA-PBE",
  "state": "relaxed",
  "spacegroup": "P4/mbm, No. 127",
  "magmom_total_mub_per_atom": 0.00,
  "de_polymorph_mev_per_atom": 112.8,
  "n_ef_per_ev_atom": 0.5962,
  "lattice": [[7.5862, 0.0000, 0.0000], [0.0000, 7.5862, 0.0000], [0.0000, 0.0000, 2.7911]],
  "species": ["Ir", "Ir", "Ir", "Ir", "W", "W", "W", "W", "Pt", "Pt"],
  "frac_coords": [[0.3719, 0.8719, 0.0000], [0.8719, 0.6281, 0.0000], [0.6281, 0.1281, 0.0000], [0.1281, 0.3719, 0.0000], [0.1675, 0.6675, 0.5000], [0.6675, 0.8325, 0.5000], [0.8325, 0.3325, 0.5000], [0.3325, 0.1675, 0.5000], [0.0000, 0.0000, 0.0000], [0.5000, 0.5000, 0.0000]]
}

***

Entry 9:
{
  "formula": "Nd15TmIn4",
  "functional": "GGA-PBE",
  "state": "relaxed",
  "spacegroup": "P4/mmm, No. 123",
  "magmom_total_mub_per_atom": 0.00,
  "final_energy_ev_per_cell": -91.17,
  "n_ef_per_ev_atom": 1.5073,
  "lattice": [[4.9901, 0.0000, 0.0000], [0.0000, 4.9901, 0.0000], [0.0000, 0.0000, 25.4063]],
  "species": ["Nd", "Nd", "Nd", "Nd", "Nd", "Nd", "Nd", "Nd", "Nd", "Nd", "Nd", "Nd", "Nd", "Nd", "Nd", "Tm", "In", "In", "In", "In"],
  "frac_coords": [[0.5000, 0.5000, 0.0000], [0.5000, 0.5000, 0.2035], [0.5000, 0.5000, 0.4012], [0.5000, 0.5000, 0.5988], [0.5000, 0.5000, 0.7965], [0.5000, 0.0000, 0.1043], [0.5000, 0.0000, 0.3024], [0.5000, 0.0000, 0.5000], [0.5000, 0.0000, 0.6976], [0.5000, 0.0000, 0.8957], [0.0000, 0.5000, 0.1043], [0.0000, 0.5000, 0.3024], [0.0000, 0.5000, 0.5000], [0.0000, 0.5000, 0.6976], [0.0000, 0.5000, 0.8957], [0.0000, 0.0000, 0.0000], [0.0000, 0.0000, 0.2049], [0.0000, 0.0000, 0.4014], [0.0000, 0.0000, 0.5986], [0.0000, 0.0000, 0.7951]]
}

***

Entry 10:
{
  "formula": "HfAlHg3",
  "functional": "GGA-PBE",
  "state": "relaxed",
  "spacegroup": "Pm-3m, No. 221",
  "magmom_total_mub_per_atom": 0.00,
  "de_polymorph_mev_per_atom": 0.0,
  "n_ef_per_ev_atom": 0.5459,
  "lattice": [[4.9877, 0.0000, 0.0000], [0.0000, 4.9877, 0.0000], [0.0000, 0.0000, 4.9877]],
  "species": ["Hf", "Hg", "Hg", "Hg", "Al"],
  "frac_coords": [[0.5000, 0.5000, 0.5000], [0.0000, 0.5000, 0.0000], [0.0000, 0.0000, 0.5000], [0.5000, 0.0000, 0.0000], [0.0000, 0.0000, 0.0000]]
}

***

Please write out number 1 again, unchanged.
{
  "formula": "RbB2PbF8",
  "functional": "GGA-PBE",
  "state": "relaxed",
  "spacegroup": "R-3, No. 148",
  "magmom_total_mub_per_atom": 0.05,
  "raw_formation_energy_ev_per_atom": -2.67,
  "n_ef_per_ev_atom": 0.1547,
  "lattice": [[-1.2540, 2.7772, -3.7559], [1.4516, -1.1689, -4.4630], [-8.1360, -4.8629, -3.9933]],
  "species": ["Rb", "B", "B", "Pb", "F", "F", "F", "F", "F", "F", "F", "F"],
  "frac_coords": [[0.5000, 0.5000, 0.5000], [0.2433, 0.2433, 0.2702], [0.7567, 0.7567, 0.7298], [0.0000, 0.0000, 0.0000], [0.1950, 0.1950, 0.4151], [0.5407, 0.2477, 0.2254], [0.8050, 0.8050, 0.5849], [0.9862, 0.5407, 0.2254], [0.0138, 0.4593, 0.7746], [0.2477, 0.9862, 0.2254], [0.7523, 0.0138, 0.7746], [0.4593, 0.7523, 0.7746]]
}